i | VASP calculation (PBE-GGA) on a relaxed structure of La2SmIn.

a b c (Å): 6.8732 5.4825 7.1545
angles (deg): 90.00 103.68 90.00
Last column: nearest neighbours and their distance in Å.
Space group P2_1/m (No. 11)
One atom of each set of equivalent atoms:
La 0.1553 0.2500 0.4169 (multiplicity 2)  4 In 3.46-3.65, 3 Sm 3.55-3.62, 4 La 3.57-3.83
La 0.1578 0.2500 0.9178 (multiplicity 2)  4 Sm 3.48-3.66, 3 In 3.54-3.69, 4 La 3.57-3.85
Sm 0.3902 0.7500 0.2216 (multiplicity 2)  3 In 3.20-3.58, 2 La 3.48-3.55
In 0.3631 0.7500 0.7159 (multiplicity 2)  3 Sm 3.20-3.58, 5 La 3.46-3.56

Calculated density: 6.88 g cm⁻³

=====

ii | VASP calculation (PBE-GGA) on a relaxed structure of La2SmIn.

a b c (Å): 3.5885 3.5885 37.9611
angles (deg): 90.00 90.00 120.00
Last column: nearest neighbours and their distance in Å.
Space group R-3m (No. 166, hexagonal axes)
One atom of each set of equivalent atoms:
La 0.0000 0.0000 0.0883 (multiplicity 6)  1 In 3.35, 6 La 3.59, 3 Sm 3.63
Sm 0.0000 0.0000 0.5000 (multiplicity 3)  6 Sm 3.59, 6 La 3.63
In 0.0000 0.0000 0.0000 (multiplicity 3)  2 La 3.35, 6 In 3.59

Calculated density: 6.39 g cm⁻³

=====

Question: which arrangement is favored energetically? Ranking from most to least stable: i, ii.

=====

i | VASP calculation (PBE-GGA) on a relaxed structure of La2SmIn.

a b c (Å): 3.7401 3.7401 33.8062
angles (deg): 90.00 90.00 120.00
Last column: nearest neighbours and their distance in Å.
Space group R3m (No. 160, hexagonal axes)
One atom of each set of equivalent atoms:
La 0.0000 0.0000 0.0000 (multiplicity 3)  3 In 3.41, 3 Sm 3.69, 6 La 3.74
La 0.0000 0.0000 0.1771 (multiplicity 3)  3 In 3.41, 3 Sm 3.70, 6 La 3.74
Sm 0.0000 0.0000 0.7551 (multiplicity 3)  6 La 3.69-3.70, 6 Sm 3.74
In 0.0000 0.0000 0.5886 (multiplicity 3)  6 La 3.41, 6 In 3.74

Calculated density: 6.60 g cm⁻³

=====

ii | VASP calculation (PBE-GGA) on a relaxed structure of La2SmIn.

a b c (Å): 3.7175 3.7175 9.6410
angles (deg): 90.00 90.00 90.00
Last column: nearest neighbours and their distance in Å.
Space group P4/mmm (No. 123)
One atom of each set of equivalent atoms:
La 0.0000 0.0000 0.2270 (multiplicity 2)  4 In 3.42, 4 La 3.72, 4 Sm 3.72
Sm 0.5000 0.5000 0.5000 (multiplicity 1)  4 Sm 3.72, 8 La 3.72
In 0.5000 0.5000 0.0000 (multiplicity 1)  8 La 3.42, 4 In 3.72

Calculated density: 6.77 g cm⁻³

=====

iii | VASP calculation (PBE-GGA) on a relaxed structure of La2SmIn.

a b c (Å): 8.0308 8.0308 8.0308
angles (deg): 90.00 90.00 90.00
Last column: nearest neighbours and their distance in Å.
Space group Fm-3m (No. 225)
One atom of each set of equivalent atoms:
La 0.2500 0.2500 0.2500 (multiplicity 8)  4 In 3.48, 4 Sm 3.48
Sm 0.0000 0.0000 0.0000 (multiplicity 4)  8 La 3.48
In 0.0000 0.0000 0.5000 (multiplicity 4)  8 La 3.48

Calculated density: 6.96 g cm⁻³

=====

Question: which arrangement is favored energetically? Ranking from most to least stable: ii, iii, i.

=====

i | VASP calculation (PBE-GGA) on a relaxed structure of La6Sm2In.

a b c (Å): 9.8909 9.8909 3.7367
angles (deg): 90.00 90.00 120.00
Last column: nearest neighbours and their distance in Å.
Space group P-62m (No. 189)
One atom of each set of equivalent atoms:
La 0.0000 0.2832 0.0000 (multiplicity 3)  2 In 3.37, 2 Sm 3.57, 2 La 3.74
La 0.0000 0.6345 0.5000 (multiplicity 3)  1 In 3.62, 4 Sm 3.66, 8 La 3.74-3.95
Sm 0.3333 0.6667 0.0000 (multiplicity 2)  9 La 3.57-3.66, 2 Sm 3.74
In 0.0000 0.0000 0.5000 (multiplicity 1)  9 La 3.37-3.62, 2 In 3.74

Calculated density: 6.55 g cm⁻³

=====

ii | VASP calculation (PBE-GGA) on a relaxed structure of La6Sm2In.

a b c (Å): 21.2741 9.4077 6.4784
angles (deg): 90.00 107.70 90.00
Last column: nearest neighbours and their distance in Å.
Space group C2/c (No. 15)
One atom of each set of equivalent atoms:
La 0.0775 0.0721 0.2193 (multiplicity 8)  2 In 3.42-3.49, 6 La 3.44-3.62, 1 Sm 3.72
La 0.0776 0.4271 0.4335 (multiplicity 8)  2 In 3.43-3.49, 6 La 3.43-3.62, 1 Sm 3.72
La 0.1681 0.2504 0.9179 (multiplicity 8)  5 La 3.32-3.61, 1 In 3.41, 4 Sm 3.53-3.54
Sm 0.2497 0.0762 0.5880 (multiplicity 8)  3 Sm 3.46-3.54, 6 La 3.53-3.72
In 0.0000 0.2505 0.7500 (multiplicity 4)  10 La 3.41-3.49

Calculated density: 6.72 g cm⁻³

=====

Question: which arrangement is favored energetically? Ranking from most to least stable: i, ii.

=====

i | VASP calculation (PBE-GGA) on a relaxed structure of La2SmIn2.

a b c (Å): 3.8840 5.5166 14.7140
angles (deg): 90.00 97.61 90.00
Last column: nearest neighbours and their distance in Å.
Space group P2_1/m (No. 11)
One atom of each set of equivalent atoms:
La 0.0460 0.2500 0.0911 (multiplicity 2)  8 In 3.38-3.49
La 0.2364 0.2500 0.4715 (multiplicity 2)  2 In 3.35, 4 La 3.47-3.48
Sm 0.1466 0.7500 0.2941 (multiplicity 2)  6 In 3.34-3.38
In 0.3579 0.7500 0.7158 (multiplicity 2)  4 La 3.35-3.42, 4 Sm 3.38
In 0.4461 0.2500 0.8924 (multiplicity 2)  2 Sm 3.34, 6 La 3.38-3.49

Calculated density: 6.99 g cm⁻³

=====

ii | VASP calculation (PBE-GGA) on a relaxed structure of La2SmIn2.

a b c (Å): 5.1899 7.2860 8.4011
angles (deg): 90.00 90.00 90.00
Last column: nearest neighbours and their distance in Å.
Space group Immm (No. 71)
One atom of each set of equivalent atoms:
La 0.0000 0.0000 0.1893 (multiplicity 4)  1 La 3.18, 6 In 3.36-3.40
Sm 0.0000 0.5000 0.0000 (multiplicity 2)  4 In 3.35, 4 La 3.68
In 0.0000 0.2905 0.5000 (multiplicity 4)  1 In 3.05, 2 Sm 3.35, 6 La 3.36-3.40

Calculated density: 6.88 g cm⁻³

=====

Question: which arrangement is favored energetically? Ranking from most to least stable: ii, i.

=====

i | VASP calculation (PBE-GGA) on a relaxed structure of La6SmIn2.

a b c (Å): 8.4281 8.4281 5.0746
angles (deg): 90.00 90.00 120.00
Last column: nearest neighbours and their distance in Å.
Space group P-62m (No. 189)
One atom of each set of equivalent atoms:
La 0.0000 0.2497 0.0000 (multiplicity 3)  2 In 3.22, 2 Sm 3.30
La 0.0000 0.5708 0.5000 (multiplicity 3)  4 In 3.57, 1 Sm 3.62, 2 La 3.71
Sm 0.0000 0.0000 0.5000 (multiplicity 1)  9 La 3.30-3.62
In 0.3333 0.6667 0.0000 (multiplicity 2)  9 La 3.22-3.57

Calculated density: 6.45 g cm⁻³

=====

ii | VASP calculation (PBE-GGA) on a relaxed structure of La6SmIn2.

a b c (Å): 15.7910 4.8020 8.3129
angles (deg): 90.00 109.95 90.00
Last column: nearest neighbours and their distance in Å.
Space group C2/m (No. 12)
One atom of each set of equivalent atoms:
La 0.0976 0.0000 0.1458 (multiplicity 4)  1 La 3.21, 4 In 3.53-3.54
La 0.1672 0.5000 0.4900 (multiplicity 4)  8 La 3.51-3.91, 2 Sm 3.59, 2 In 3.60-3.67
La 0.2227 0.0000 0.8432 (multiplicity 4)  8 La 3.43-3.74, 3 In 3.49-3.65, 1 Sm 3.70
Sm 0.0000 0.0000 0.5000 (multiplicity 2)  4 In 3.44, 8 La 3.59-3.76
In 0.0583 0.5000 0.8155 (multiplicity 4)  2 Sm 3.44, 9 La 3.49-3.67

Calculated density: 6.80 g cm⁻³

=====

Question: which arrangement is favored energetically? Ranking from most to least stable: ii, i.

=====

i | VASP calculation (PBE-GGA) on a relaxed structure of LaSm2In6.

a b c (Å): 8.6939 8.6939 3.7132
angles (deg): 90.00 90.00 120.00
Last column: nearest neighbours and their distance in Å.
Space group P6/mmm (No. 191)
One atom of each set of equivalent atoms:
La 0.0000 0.0000 0.0000 (multiplicity 1)  12 In 3.46, 2 La 3.71
Sm 0.3333 0.6667 0.0000 (multiplicity 2)  12 In 3.43, 2 Sm 3.71
In 0.0000 0.3352 0.5000 (multiplicity 6)  3 In 2.87-2.91

Calculated density: 7.71 g cm⁻³

=====

ii | VASP calculation (PBE-GGA) on a relaxed structure of LaSm2In6.

a b c (Å): 4.6868 7.7587 14.6754
angles (deg): 90.00 90.00 90.00
Last column: nearest neighbours and their distance in Å.
Space group Immm (No. 71)
One atom of each set of equivalent atoms:
La 0.0000 0.0000 0.0000 (multiplicity 2)  4 In 3.36
Sm 0.0000 0.5000 0.1220 (multiplicity 4)  10 In 3.16-3.47
In 0.0000 0.1896 0.5000 (multiplicity 4)  3 In 2.91-2.94
In 0.0000 0.3049 0.3111 (multiplicity 8)  4 In 2.91-3.07, 1 Sm 3.16

Calculated density: 7.02 g cm⁻³

=====

Question: which arrangement is favored energetically? Ranking from most to least stable: i, ii.

=====

i | VASP calculation (PBE-GGA) on a relaxed structure of La8Sm2In.

a b c (Å): 17.2184 5.7668 9.1796
angles (deg): 90.00 120.91 90.00
Last column: nearest neighbours and their distance in Å.
Space group C2/m (No. 12)
One atom of each set of equivalent atoms:
La 0.0725 0.0000 0.2177 (multiplicity 4)  7 La 3.45-3.81, 1 Sm 3.45
La 0.0793 0.5000 0.9281 (multiplicity 4)  3 Sm 3.36-3.69, 1 In 3.43, 3 La 3.59-3.65
La 0.1244 0.0000 0.6600 (multiplicity 4)  2 In 3.44, 3 Sm 3.49-3.68, 2 La 3.68-3.75
La 0.1789 0.5000 0.4346 (multiplicity 4)  1 In 3.43, 5 La 3.45-3.81, 1 Sm 3.71
Sm 0.2343 0.0000 0.1022 (multiplicity 4)  8 La 3.36-3.71, 2 Sm 3.63
In 0.0000 0.5000 0.5000 (multiplicity 2)  8 La 3.43-3.44

Calculated density: 6.48 g cm⁻³

=====

ii | VASP calculation (PBE-GGA) on a relaxed structure of La8Sm2In.

a b c (Å): 18.3986 6.8392 6.2295
angles (deg): 90.00 103.17 90.00
Last column: nearest neighbours and their distance in Å.
Space group C2/m (No. 12)
One atom of each set of equivalent atoms:
La 0.0333 0.0000 0.2779 (multiplicity 4)  4 La 3.27-3.57, 1 Sm 3.44
La 0.0973 0.5000 0.5257 (multiplicity 4)  1 In 3.36, 3 La 3.37-3.52, 1 Sm 3.47
La 0.1556 0.2368 0.9905 (multiplicity 8)  5 La 3.24-3.60, 1 In 3.39
Sm 0.2199 0.0000 0.5353 (multiplicity 4)  8 La 3.44-3.76, 2 Sm 3.65
In 0.0000 0.5000 0.0000 (multiplicity 2)  6 La 3.36-3.39

Calculated density: 6.64 g cm⁻³

=====

Question: which arrangement is favored energetically? Ranking from most to least stable: i, ii.

=====

i | VASP calculation (PBE-GGA) on a relaxed structure of LaSm2In2.

a b c (Å): 7.0249 5.2035 9.3240
angles (deg): 90.00 112.09 90.00
Last column: nearest neighbours and their distance in Å.
Space group P2_1/m (No. 11)
One atom of each set of equivalent atoms:
La 0.0888 0.2500 0.1730 (multiplicity 2)  4 In 3.35, 2 Sm 3.57-3.59
Sm 0.2686 0.7500 0.5388 (multiplicity 2)  1 Sm 3.17, 6 In 3.19-3.52
Sm 0.4519 0.7500 0.9060 (multiplicity 2)  3 Sm 3.07-3.17, 6 In 3.30-3.34
In 0.1586 0.2500 0.7504 (multiplicity 2)  1 In 3.02, 4 Sm 3.19-3.34, 2 La 3.35
In 0.4135 0.7500 0.2528 (multiplicity 2)  1 In 3.02, 4 Sm 3.19-3.34, 2 La 3.35

Calculated density: 7.04 g cm⁻³

=====

ii | VASP calculation (PBE-GGA) on a relaxed structure of LaSm2In2.

a b c (Å): 3.8811 28.4922 5.5220
angles (deg): 90.00 90.00 90.00
Last column: nearest neighbours and their distance in Å.
Space group Cmcm (No. 63)
One atom of each set of equivalent atoms:
La 0.0000 0.1461 0.2500 (multiplicity 4)  6 In 3.38-3.45, 2 Sm 3.77
Sm 0.0000 0.0496 0.7500 (multiplicity 4)  8 In 3.32-3.38
Sm 0.0000 0.2360 0.7500 (multiplicity 4)  2 In 3.26, 4 Sm 3.47
In 0.0000 0.3558 0.2500 (multiplicity 4)  4 Sm 3.26-3.32, 4 La 3.38
In 0.0000 0.4541 0.7500 (multiplicity 4)  6 Sm 3.34-3.38, 2 La 3.45

Calculated density: 7.28 g cm⁻³

=====

Question: which arrangement is favored energetically? Ranking from most to least stable: ii, i.

=====

i | VASP calculation (PBE-GGA) on a relaxed structure of La4Sm5In.

a b c (Å): 10.9193 10.9193 6.0177
angles (deg): 90.00 90.00 90.00
Last column: nearest neighbours and their distance in Å.
Space group I4mm (No. 107)
One atom of each set of equivalent atoms:
La 0.0000 0.3068 0.0000 (multiplicity 8)  5 Sm 3.44-3.84, 1 In 3.74
Sm 0.0000 0.0000 0.2082 (multiplicity 2)  2 In 2.91-3.11
Sm 0.1850 0.1850 0.4965 (multiplicity 8)  1 In 3.17, 1 Sm 3.34, 2 La 3.44
In 0.0000 0.0000 0.7248 (multiplicity 2)  6 Sm 2.91-3.17

Calculated density: 6.58 g cm⁻³

=====

ii | VASP calculation (PBE-GGA) on a relaxed structure of La4Sm5In.

a b c (Å): 4.2639 4.2639 18.4899
angles (deg): 90.00 90.00 90.00
Last column: nearest neighbours and their distance in Å.
Space group P4/mmm (No. 123)
One atom of each set of equivalent atoms:
La 0.0000 0.0000 0.1048 (multiplicity 2)  8 Sm 3.58-3.60, 2 La 3.69-3.87
La 0.0000 0.0000 0.3044 (multiplicity 2)  8 Sm 3.47-3.63, 1 In 3.62, 1 La 3.69
Sm 0.5000 0.5000 0.0000 (multiplicity 1)  8 La 3.58, 2 Sm 3.91
Sm 0.5000 0.5000 0.2113 (multiplicity 2)  8 La 3.47-3.60, 1 Sm 3.74
Sm 0.5000 0.5000 0.4137 (multiplicity 2)  1 Sm 3.19, 4 In 3.41
In 0.0000 0.0000 0.5000 (multiplicity 1)  8 Sm 3.41, 2 La 3.62

Calculated density: 7.03 g cm⁻³

=====

Question: which arrangement is favored energetically? Ranking from most to least stable: ii, i.

=====

i | VASP calculation (PBE-GGA) on a relaxed structure of La5Sm2In5.

a b c (Å): 10.2940 5.4565 14.0044
angles (deg): 90.00 105.20 90.00
Last column: nearest neighbours and their distance in Å.
Space group C2/m (No. 12)
One atom of each set of equivalent atoms:
La 0.0000 0.0000 0.0000 (multiplicity 2)  6 In 3.38-3.41
La 0.0794 0.5000 0.8141 (multiplicity 4)  6 In 3.37-3.66, 2 Sm 3.44
La 0.1542 0.5000 0.4862 (multiplicity 4)  4 In 3.19-3.51, 3 La 3.30-3.33, 1 Sm 3.50
Sm 0.1930 0.0000 0.7098 (multiplicity 4)  5 In 3.09-3.31, 2 La 3.44
In 0.0000 0.0000 0.5000 (multiplicity 2)  2 Sm 3.09, 4 La 3.19
In 0.1260 0.0000 0.2845 (multiplicity 4)  3 Sm 3.29-3.31, 4 La 3.41-3.65, 1 In 3.58
In 0.2042 0.5000 0.0615 (multiplicity 4)  1 Sm 3.10, 4 La 3.37-3.41

Calculated density: 6.87 g cm⁻³

=====

ii | VASP calculation (PBE-GGA) on a relaxed structure of La5Sm2In5.

a b c (Å): 15.7193 4.5688 11.4323
angles (deg): 90.00 117.08 90.00
Last column: nearest neighbours and their distance in Å.
Space group C2/m (No. 12)
One atom of each set of equivalent atoms:
La 0.0000 0.0000 0.0000 (multiplicity 2)  4 La 3.51-3.64, 8 In 3.52-3.60
La 0.0778 0.0000 0.7571 (multiplicity 4)  2 Sm 3.40-3.80, 7 In 3.40-3.56, 3 La 3.51-3.57
La 0.2492 0.0000 0.2461 (multiplicity 4)  6 In 3.37-3.68, 3 La 3.57-3.64, 3 Sm 3.58-3.67
Sm 0.1521 0.0000 0.4836 (multiplicity 4)  4 In 3.22-3.37, 3 La 3.40-3.58
In 0.0000 0.5000 0.5000 (multiplicity 2)  4 Sm 3.37, 6 La 3.48-3.68, 2 In 3.65
In 0.0954 0.5000 0.2627 (multiplicity 4)  2 Sm 3.22, 6 La 3.39-3.52
In 0.1783 0.5000 0.0034 (multiplicity 4)  2 In 3.24, 8 La 3.37-3.60

Calculated density: 7.13 g cm⁻³

=====

Question: which arrangement is favored energetically? Ranking from most to least stable: ii, i.

=====

i | VASP calculation (PBE-GGA) on a relaxed structure of La4Sm2In.

a b c (Å): 6.4360 11.3385 6.6163
angles (deg): 90.00 91.20 90.00
Last column: nearest neighbours and their distance in Å.
Space group P2_1/c (No. 14)
One atom of each set of equivalent atoms:
La 0.0628 0.1534 0.4586 (multiplicity 4)  1 In 3.31, 2 La 3.45-3.62, 1 Sm 3.71
La 0.4041 0.7358 0.7246 (multiplicity 4)  2 In 3.29-3.41, 3 La 3.32-3.45, 2 Sm 3.43-3.67
Sm 0.2488 0.0320 0.9504 (multiplicity 4)  2 Sm 3.36-3.37, 4 La 3.43-3.76, 1 In 3.44
In 0.5000 0.0000 0.5000 (multiplicity 2)  6 La 3.29-3.41, 2 Sm 3.44

Calculated density: 6.68 g cm⁻³

=====

ii | VASP calculation (PBE-GGA) on a relaxed structure of La4Sm2In.

a b c (Å): 8.5764 10.9314 5.2863
angles (deg): 90.00 90.00 90.00
Last column: nearest neighbours and their distance in Å.
Space group Cmmm (No. 65)
One atom of each set of equivalent atoms:
La 0.1885 0.0000 0.0000 (multiplicity 4)  1 La 3.23, 2 Sm 3.39
La 0.2500 0.2500 0.5000 (multiplicity 4)  4 Sm 3.46, 2 In 3.47, 4 La 3.84
Sm 0.0000 0.3095 0.0000 (multiplicity 4)  2 In 3.37, 8 La 3.39-3.75
In 0.0000 0.5000 0.5000 (multiplicity 2)  4 Sm 3.37, 8 La 3.47-3.76

Calculated density: 6.51 g cm⁻³

=====

Question: which arrangement is favored energetically? Ranking from most to least stable: i, ii.